No. 1
Computed, not measured: crystalline Sm2Cu3Ge4Pd at its relaxed geometry at the PBE level of DFT.

Geometry as CIF:
```
data_Sm2Cu3Ge4Pd
_symmetry_space_group_name_H-M 'P -4 m 2'
_symmetry_Int_Tables_number 115
_cell_length_a 4.200
_cell_length_b 4.200
_cell_length_c 10.180
_cell_angle_alpha 90.00
_cell_angle_beta 90.00
_cell_angle_gamma 90.00
loop_
_symmetry_equiv_pos_as_xyz
'x,y,z'
'y,-x,-z'
'-x,-y,z'
'-y,x,-z'
'-x,y,z'
'-y,-x,-z'
'x,-y,z'
'y,x,-z'
loop_
_atom_site_label
_atom_site_type_symbol
_atom_site_fract_x
_atom_site_fract_y
_atom_site_fract_z
Sm1 Sm 0.000 0.500 0.249
Cu1 Cu 0.000 0.500 0.871
Cu2 Cu 0.500 0.500 0.500
Ge1 Ge 0.000 0.000 0.000
Ge2 Ge 0.000 0.500 0.636
Ge3 Ge 0.500 0.500 0.000
Pd1 Pd 0.000 0.000 0.500
```

Calculated values
total magnetization = 0.000 Bohr magnetons per cell
total DFT energy (no corrections) = -5.111 eV per atom
calculated volume = 180 Å³ per cell

No. 2
Computed, not measured: crystalline Sr2Cu4Ge3Pd at its relaxed geometry at the PBE level of DFT.

Geometry as CIF:
```
data_Sr2Cu4Ge3Pd
_symmetry_space_group_name_H-M 'P -4 m 2'
_symmetry_Int_Tables_number 115
_cell_length_a 4.273
_cell_length_b 4.273
_cell_length_c 10.324
_cell_angle_alpha 90.00
_cell_angle_beta 90.00
_cell_angle_gamma 90.00
loop_
_symmetry_equiv_pos_as_xyz
'x,y,z'
'y,-x,-z'
'-x,-y,z'
'-y,x,-z'
'-x,y,z'
'-y,-x,-z'
'x,-y,z'
'y,x,-z'
loop_
_atom_site_label
_atom_site_type_symbol
_atom_site_fract_x
_atom_site_fract_y
_atom_site_fract_z
Sr1 Sr 0.000 0.500 0.249
Cu1 Cu 0.000 0.000 0.000
Cu2 Cu 0.000 0.500 0.636
Cu3 Cu 0.500 0.500 0.000
Ge1 Ge 0.000 0.500 0.876
Ge2 Ge 0.500 0.500 0.500
Pd1 Pd 0.000 0.000 0.500
```

Calculated values
total magnetization = 0.000 Bohr magnetons per cell
total DFT energy (no corrections) = -4.226 eV per atom
calculated volume = 188 Å³ per cell

No. 3
Computed, not measured: crystalline SrCuGe2Pd at its relaxed geometry at the PBE level of DFT.

Geometry as CIF:
```
data_SrCuGe2Pd
_symmetry_space_group_name_H-M 'I -4 m 2'
_symmetry_Int_Tables_number 119
_symmetry_space_group_name_Hall 'I -4 -2'
_cell_length_a 4.385
_cell_length_b 4.385
_cell_length_c 10.294
_cell_angle_alpha 90.00
_cell_angle_beta 90.00
_cell_angle_gamma 90.00
loop_
_atom_site_label
_atom_site_type_symbol
_atom_site_fract_x
_atom_site_fract_y
_atom_site_fract_z
Sr1 Sr 0.000 0.000 0.000
Cu1 Cu 0.000 0.500 0.750
Ge1 Ge 0.000 0.000 0.372
Pd1 Pd 0.000 0.500 0.250
```

Calculated values
total magnetization = 0.000 Bohr magnetons per cell
total DFT energy (no corrections) = -4.574 eV per atom
calculated volume = 198 Å³ per cell

No. 4
Computed, not measured: crystalline TaCu2GePd at its relaxed geometry at the PBE level of DFT.

Geometry as CIF:
```
data_TaCu2GePd
_symmetry_space_group_name_H-M 'P 4/m m m'
_symmetry_Int_Tables_number 123
_symmetry_space_group_name_Hall '-P 4 2'
_cell_length_a 4.353
_cell_length_b 4.353
_cell_length_c 4.587
_cell_angle_alpha 90.00
_cell_angle_beta 90.00
_cell_angle_gamma 90.00
loop_
_atom_site_label
_atom_site_type_symbol
_atom_site_fract_x
_atom_site_fract_y
_atom_site_fract_z
Ta1 Ta 0.000 0.000 0.000
Cu1 Cu 0.000 0.500 0.500
Ge1 Ge 0.500 0.500 0.500
Pd1 Pd 0.500 0.500 0.000
```

Calculated values
total magnetization = 0.772 Bohr magnetons per cell
total DFT energy (no corrections) = -5.183 eV per atom
calculated volume = 87 Å³ per cell

No. 5
Computed, not measured: crystalline Tb2CuGe4Pd3 at its relaxed geometry at the PBE level of DFT.

Geometry as CIF:
```
data_Tb2CuGe4Pd3
_symmetry_space_group_name_H-M 'P -4 m 2'
_symmetry_Int_Tables_number 115
_cell_length_a 4.146
_cell_length_b 4.146
_cell_length_c 10.745
_cell_angle_alpha 90.00
_cell_angle_beta 90.00
_cell_angle_gamma 90.00
loop_
_symmetry_equiv_pos_as_xyz
'x,y,z'
'y,-x,-z'
'-x,-y,z'
'-y,x,-z'
'-x,y,z'
'-y,-x,-z'
'x,-y,z'
'y,x,-z'
loop_
_atom_site_label
_atom_site_type_symbol
_atom_site_fract_x
_atom_site_fract_y
_atom_site_fract_z
Tb1 Tb 0.000 0.500 0.237
Cu1 Cu 0.500 0.500 0.000
Ge1 Ge 0.000 0.000 0.500
Ge2 Ge 0.000 0.500 0.867
Ge3 Ge 0.500 0.500 0.500
Pd1 Pd 0.000 0.000 0.000
Pd2 Pd 0.000 0.500 0.640
```

Calculated values
total magnetization = 0.000 Bohr magnetons per cell
total DFT energy (no corrections) = -5.446 eV per atom
calculated volume = 185 Å³ per cell

No. 6
Computed, not measured: crystalline TbCuGePd at its relaxed geometry at the PBE level of DFT.

Geometry as CIF:
```
data_TbCuGePd
_symmetry_space_group_name_H-M 'F -4 3 m'
_symmetry_Int_Tables_number 216
_symmetry_space_group_name_Hall 'F -4 2 3'
_cell_length_a 6.561
_cell_length_b 6.561
_cell_length_c 6.561
_cell_angle_alpha 90.00
_cell_angle_beta 90.00
_cell_angle_gamma 90.00
loop_
_atom_site_label
_atom_site_type_symbol
_atom_site_fract_x
_atom_site_fract_y
_atom_site_fract_z
Tb1 Tb 0.000 0.000 0.000
Cu1 Cu 0.250 0.250 0.250
Ge1 Ge 0.000 0.000 0.500
Pd1 Pd 0.250 0.250 0.750
```

Calculated values
total magnetization = 0.000 Bohr magnetons per cell
total DFT energy (no corrections) = -5.158 eV per atom
calculated volume = 282 Å³ per cell

No. 7
Computed, not measured: crystalline TbCuGe2Pd at its relaxed geometry at the PBE level of DFT.

Geometry as CIF:
```
data_TbCuGe2Pd
_symmetry_space_group_name_H-M 'I -4 m 2'
_symmetry_Int_Tables_number 119
_symmetry_space_group_name_Hall 'I -4 -2'
_cell_length_a 4.137
_cell_length_b 4.137
_cell_length_c 10.474
_cell_angle_alpha 90.00
_cell_angle_beta 90.00
_cell_angle_gamma 90.00
loop_
_atom_site_label
_atom_site_type_symbol
_atom_site_fract_x
_atom_site_fract_y
_atom_site_fract_z
Tb1 Tb 0.000 0.000 0.000
Cu1 Cu 0.000 0.500 0.750
Ge1 Ge 0.000 0.000 0.383
Pd1 Pd 0.000 0.500 0.250
```

Calculated values
total magnetization = 0.000 Bohr magnetons per cell
total DFT energy (no corrections) = -5.289 eV per atom
calculated volume = 179 Å³ per cell

No. 8
Computed, not measured: crystalline Th2CuGe3Pd4 at its relaxed geometry at the PBE level of DFT.

Geometry as CIF:
```
data_Th2CuGe3Pd4
_symmetry_space_group_name_H-M 'P -4 m 2'
_symmetry_Int_Tables_number 115
_cell_length_a 4.331
_cell_length_b 4.331
_cell_length_c 10.131
_cell_angle_alpha 90.00
_cell_angle_beta 90.00
_cell_angle_gamma 90.00
loop_
_symmetry_equiv_pos_as_xyz
'x,y,z'
'y,-x,-z'
'-x,-y,z'
'-y,x,-z'
'-x,y,z'
'-y,-x,-z'
'x,-y,z'
'y,x,-z'
loop_
_atom_site_label
_atom_site_type_symbol
_atom_site_fract_x
_atom_site_fract_y
_atom_site_fract_z
Th1 Th 0.000 0.500 0.248
Cu1 Cu 0.500 0.500 0.000
Ge1 Ge 0.000 0.000 0.000
Ge2 Ge 0.000 0.500 0.633
Pd1 Pd 0.000 0.000 0.500
Pd2 Pd 0.000 0.500 0.874
Pd3 Pd 0.500 0.500 0.500
```

Calculated values
total magnetization = 0.000 Bohr magnetons per cell
total DFT energy (no corrections) = -6.091 eV per atom
calculated volume = 190 Å³ per cell

No. 9
Computed, not measured: crystalline Th2Cu3Ge4Pd at its relaxed geometry at the PBE level of DFT.

Geometry as CIF:
```
data_Th2Cu3Ge4Pd
_symmetry_space_group_name_H-M 'P -4 m 2'
_symmetry_Int_Tables_number 115
_cell_length_a 4.283
_cell_length_b 4.283
_cell_length_c 9.974
_cell_angle_alpha 90.00
_cell_angle_beta 90.00
_cell_angle_gamma 90.00
loop_
_symmetry_equiv_pos_as_xyz
'x,y,z'
'y,-x,-z'
'-x,-y,z'
'-y,x,-z'
'-x,y,z'
'-y,-x,-z'
'x,-y,z'
'y,x,-z'
loop_
_atom_site_label
_atom_site_type_symbol
_atom_site_fract_x
_atom_site_fract_y
_atom_site_fract_z
Th1 Th 0.000 0.500 0.248
Cu1 Cu 0.000 0.000 0.000
Cu2 Cu 0.000 0.500 0.627
Ge1 Ge 0.000 0.000 0.500
Ge2 Ge 0.000 0.500 0.866
Ge3 Ge 0.500 0.500 0.500
Pd1 Pd 0.500 0.500 0.000
```

Calculated values
total magnetization = 0.000 Bohr magnetons per cell
total DFT energy (no corrections) = -5.647 eV per atom
calculated volume = 183 Å³ per cell

No. 10
Computed, not measured: crystalline TiCuGePd at its relaxed geometry at the PBE level of DFT.

Geometry as CIF:
```
data_TiCuGePd
_symmetry_space_group_name_H-M 'F -4 3 m'
_symmetry_Int_Tables_number 216
_symmetry_space_group_name_Hall 'F -4 2 3'
_cell_length_a 6.169
_cell_length_b 6.169
_cell_length_c 6.169
_cell_angle_alpha 90.00
_cell_angle_beta 90.00
_cell_angle_gamma 90.00
loop_
_atom_site_label
_atom_site_type_symbol
_atom_site_fract_x
_atom_site_fract_y
_atom_site_fract_z
Ti1 Ti 0.000 0.000 0.000
Cu1 Cu 0.250 0.250 0.250
Ge1 Ge 0.250 0.250 0.750
Pd1 Pd 0.000 0.000 0.500
```

Calculated values
total magnetization = 0.005 Bohr magnetons per cell
total DFT energy (no corrections) = -5.815 eV per atom
calculated volume = 235 Å³ per cell